A plane-wave DFT calculation with PBE-GGA was carried out for a relaxed PrMg crystal.

## Properties
magnetic moment	0.040	μB/f.u.
energy above the lowest structure with this stoichiometry	0.4689	eV per atom

Structure (extended XYZ):
```
2
Lattice="3.470 1.731 2.481 -0.284 0.106 4.593 2.636 -2.796 2.534" Properties=species:S:1:pos:R:3 pbc="T T T"
Pr 2.911 -0.480 4.804
Mg 0.000 0.000 0.000
```